The following is a GGA-PBE calculation of YTlCd6 after structural relaxation, from the Alexandria database.

Cell and atoms, written as extended XYZ:
```
8
Lattice="4.843 0.000 0.000 0.000 3.879 5.136 0.000 -3.879 5.136" Properties=species:S:1:pos:R:3 pbc="T T T"
Y 0.000 0.000 0.000
Tl 2.421 0.000 2.355
Cd 0.000 0.000 4.421
Cd 0.000 -1.530 7.316
Cd 0.000 1.530 7.316
Cd 2.421 -1.614 5.244
Cd 2.421 1.614 5.244
Cd 2.421 0.000 8.238
```

Computed properties:
- M_tot (μB per atom) = 0.000
- space-group type = Amm2 (38)

The following is a GGA-PBE calculation of Y3Tl4Cd2 after structural relaxation, from the Alexandria database.

Cell and atoms, written as extended XYZ:
```
9
Lattice="5.760 -2.466 0.000 5.760 2.466 0.000 -4.187 0.000 8.397" Properties=species:S:1:pos:R:3 pbc="T T T"
Y 0.000 0.000 0.000
Y 2.631 0.000 2.706
Y 4.702 0.000 5.691
Tl -1.079 0.000 3.053
Tl -0.424 0.000 8.106
Tl 7.757 0.000 0.291
Tl 8.412 0.000 5.344
Cd 1.115 0.000 5.598
Cd 6.218 0.000 2.799
```

Computed properties:
- M_tot (μB per atom) = 0.000
- space-group type = C2/m (12)

These records have formation energy values of -0.12 -0.26 eV per atom, in the order they appear.
These records have N(E_F) values of 3.43 4.81 states/eV per cell, in the order they appear.